Entry 1:
# PBE-GGA Li2YPuO4, optimized geometry
# D(E_F)	9.42	states/eV/cell
data_Li2YPuO4
_cell_length_a 4.487
_cell_length_b 4.487
_cell_length_c 10.890
_cell_angle_alpha 90.00
_cell_angle_beta 90.00
_cell_angle_gamma 90.00
_symmetry_space_group_name_H-M 'P 1'
_symmetry_Int_Tables_number 1
_symmetry_space_group_name_Hall 'P 1'
loop_
_atom_site_label
_atom_site_type_symbol
_atom_site_fract_x
_atom_site_fract_y
_atom_site_fract_z
_atom_site_occupancy
Li1 Li 0.000 0.000 0.000 1
Li2 Li 0.000 0.500 0.250 1
Li3 Li 0.500 0.000 0.750 1
Li4 Li 0.500 0.500 0.500 1
Y1 Y 0.000 0.500 0.750 1
Y2 Y 0.500 0.000 0.250 1
Pu1 Pu 0.000 0.000 0.500 1
Pu2 Pu 0.500 0.500 0.000 1
O1 O 0.000 0.000 0.277 1
O2 O 0.000 0.000 0.723 1
O3 O 0.000 0.500 0.534 1
O4 O 0.000 0.500 0.966 1
O5 O 0.500 0.000 0.034 1
O6 O 0.500 0.000 0.466 1
O7 O 0.500 0.500 0.223 1
O8 O 0.500 0.500 0.777 1

***

Entry 2:
# PBE-GGA LiYPuO6, optimized geometry
# D(E_F)	3.45	states/eV/cell
data_LiYPuO6
_cell_length_a 5.315
_cell_length_b 5.315
_cell_length_c 9.821
_cell_angle_alpha 90.00
_cell_angle_beta 90.00
_cell_angle_gamma 120.00
_symmetry_space_group_name_H-M 'P 1'
_symmetry_Int_Tables_number 1
_symmetry_space_group_name_Hall 'P 1'
loop_
_atom_site_label
_atom_site_type_symbol
_atom_site_fract_x
_atom_site_fract_y
_atom_site_fract_z
_atom_site_occupancy
Li1 Li 0.333 0.667 0.250 1
Li2 Li 0.667 0.333 0.750 1
Y1 Y 0.000 0.000 0.000 1
Y2 Y 0.000 0.000 0.500 1
Pu1 Pu 0.333 0.667 0.750 1
Pu2 Pu 0.667 0.333 0.250 1
O1 O 0.023 0.361 0.638 1
O2 O 0.023 0.662 0.862 1
O3 O 0.338 0.361 0.862 1
O4 O 0.338 0.977 0.638 1
O5 O 0.361 0.023 0.138 1
O6 O 0.361 0.338 0.362 1
O7 O 0.639 0.662 0.638 1
O8 O 0.639 0.977 0.862 1
O9 O 0.662 0.023 0.362 1
O10 O 0.662 0.639 0.138 1
O11 O 0.977 0.338 0.138 1
O12 O 0.977 0.639 0.362 1

***

Entry 3:
Crystalline Li2YPuO6 at its relaxed geometry. Source: the Alexandria database, functional PBE-GGA.

The structure in CIF format:
```
data_Li2YPuO6
_cell_length_a 6.041
_cell_length_b 6.041
_cell_length_c 6.041
_cell_angle_alpha 52.51
_cell_angle_beta 52.51
_cell_angle_gamma 52.51
_symmetry_space_group_name_H-M 'P 1'
_symmetry_Int_Tables_number 1
_symmetry_space_group_name_Hall 'P 1'
loop_
_atom_site_label
_atom_site_type_symbol
_atom_site_fract_x
_atom_site_fract_y
_atom_site_fract_z
_atom_site_occupancy
Li1 Li 0.200 0.200 0.200 1
Li2 Li 0.800 0.800 0.800 1
Y1 Y 0.000 0.000 0.000 1
Pu1 Pu 0.500 0.500 0.500 1
O1 O 0.127 0.404 0.753 1
O2 O 0.247 0.873 0.596 1
O3 O 0.404 0.753 0.127 1
O4 O 0.596 0.247 0.873 1
O5 O 0.753 0.127 0.404 1
O6 O 0.873 0.596 0.247 1
```

***

Entry 4:
# PBE-GGA LiY2PuO6, optimized geometry
# D(E_F)	10.37	states/eV/cell
data_LiY2PuO6
_cell_length_a 6.033
_cell_length_b 6.033
_cell_length_c 6.033
_cell_angle_alpha 56.78
_cell_angle_beta 56.78
_cell_angle_gamma 56.78
_symmetry_space_group_name_H-M 'P 1'
_symmetry_Int_Tables_number 1
_symmetry_space_group_name_Hall 'P 1'
loop_
_atom_site_label
_atom_site_type_symbol
_atom_site_fract_x
_atom_site_fract_y
_atom_site_fract_z
_atom_site_occupancy
Li1 Li 0.000 0.000 0.000 1
Y1 Y 0.266 0.266 0.266 1
Y2 Y 0.774 0.774 0.774 1
Pu1 Pu 0.476 0.476 0.476 1
O1 O 0.101 0.670 0.379 1
O2 O 0.196 0.575 0.855 1
O3 O 0.379 0.101 0.670 1
O4 O 0.575 0.855 0.196 1
O5 O 0.670 0.379 0.101 1
O6 O 0.855 0.196 0.575 1

***

Entry 5:
# PBE-GGA LiYPu2O8, optimized geometry
# D(E_F)	15.01	states/eV/cell
data_LiYPu2O8
_cell_length_a 6.283
_cell_length_b 6.283
_cell_length_c 6.283
_cell_angle_alpha 109.31
_cell_angle_beta 109.31
_cell_angle_gamma 109.79
_symmetry_space_group_name_H-M 'P 1'
_symmetry_Int_Tables_number 1
_symmetry_space_group_name_Hall 'P 1'
loop_
_atom_site_label
_atom_site_type_symbol
_atom_site_fract_x
_atom_site_fract_y
_atom_site_fract_z
_atom_site_occupancy
Li1 Li 0.000 0.000 0.000 1
Y1 Y 0.750 0.250 0.500 1
Pu1 Pu 0.250 0.750 0.500 1
Pu2 Pu 0.500 0.500 0.000 1
O1 O 0.046 0.369 0.323 1
O2 O 0.046 0.723 0.677 1
O3 O 0.117 0.310 0.807 1
O4 O 0.277 0.954 0.323 1
O5 O 0.502 0.310 0.193 1
O6 O 0.631 0.954 0.677 1
O7 O 0.690 0.498 0.807 1
O8 O 0.690 0.883 0.193 1

***

Entry 6:
# PBE-GGA Li2Pu2ZnO6, optimized geometry
# D(E_F)	11.36	states/eV/cell
data_Li2Pu2ZnO6
_cell_length_a 6.316
_cell_length_b 6.316
_cell_length_c 6.316
_cell_angle_alpha 55.41
_cell_angle_beta 55.41
_cell_angle_gamma 55.41
_symmetry_space_group_name_H-M 'P 1'
_symmetry_Int_Tables_number 1
_symmetry_space_group_name_Hall 'P 1'
loop_
_atom_site_label
_atom_site_type_symbol
_atom_site_fract_x
_atom_site_fract_y
_atom_site_fract_z
_atom_site_occupancy
Li1 Li 0.082 0.082 0.082 1
Li2 Li 0.918 0.918 0.918 1
Pu1 Pu 0.321 0.321 0.321 1
Pu2 Pu 0.679 0.679 0.679 1
Zn1 Zn 0.500 0.500 0.500 1
O1 O 0.254 0.254 0.711 1
O2 O 0.254 0.711 0.254 1
O3 O 0.289 0.746 0.746 1
O4 O 0.711 0.254 0.254 1
O5 O 0.746 0.289 0.746 1
O6 O 0.746 0.746 0.289 1

***

Entry 7:
# PBE-GGA LiPuZnO4, optimized geometry
# D(E_F)	9.25	states/eV/cell
data_LiPuZnO4
_cell_length_a 6.213
_cell_length_b 6.213
_cell_length_c 6.213
_cell_angle_alpha 120.13
_cell_angle_beta 112.45
_cell_angle_gamma 96.67
_symmetry_space_group_name_H-M 'P 1'
_symmetry_Int_Tables_number 1
_symmetry_space_group_name_Hall 'P 1'
loop_
_atom_site_label
_atom_site_type_symbol
_atom_site_fract_x
_atom_site_fract_y
_atom_site_fract_z
_atom_site_occupancy
Li1 Li 0.500 0.000 0.000 1
Li2 Li 0.500 0.500 0.500 1
Pu1 Pu 0.000 0.000 0.000 1
Pu2 Pu 0.500 0.000 0.500 1
Zn1 Zn 0.126 0.376 0.750 1
Zn2 Zn 0.874 0.624 0.250 1
O1 O 0.241 0.240 0.001 1
O2 O 0.256 0.238 0.482 1
O3 O 0.256 0.774 0.018 1
O4 O 0.260 0.760 0.501 1
O5 O 0.740 0.240 0.499 1
O6 O 0.744 0.226 0.982 1
O7 O 0.744 0.762 0.518 1
O8 O 0.759 0.760 0.999 1

***

Entry 8:
# PBE-GGA LiPu2ZrO8, optimized geometry
# D(E_F)	7.42	states/eV/cell
data_LiPu2ZrO8
_cell_length_a 4.873
_cell_length_b 4.873
_cell_length_c 6.836
_cell_angle_alpha 90.00
_cell_angle_beta 90.00
_cell_angle_gamma 91.57
_symmetry_space_group_name_H-M 'P 1'
_symmetry_Int_Tables_number 1
_symmetry_space_group_name_Hall 'P 1'
loop_
_atom_site_label
_atom_site_type_symbol
_atom_site_fract_x
_atom_site_fract_y
_atom_site_fract_z
_atom_site_occupancy
Li1 Li 0.000 0.000 0.000 1
Pu1 Pu 0.500 0.500 0.246 1
Pu2 Pu 0.500 0.500 0.754 1
Zr1 Zr 0.000 0.000 0.500 1
O1 O 0.204 0.204 0.262 1
O2 O 0.204 0.204 0.738 1
O3 O 0.303 0.697 0.500 1
O4 O 0.317 0.683 0.000 1
O5 O 0.683 0.317 0.000 1
O6 O 0.697 0.303 0.500 1
O7 O 0.796 0.796 0.262 1
O8 O 0.796 0.796 0.738 1

***

Entry 9:
# PBE-GGA Li2PuZrO6, optimized geometry
# D(E_F)	2.45	states/eV/cell
data_Li2PuZrO6
_cell_length_a 5.916
_cell_length_b 5.916
_cell_length_c 4.151
_cell_angle_alpha 90.00
_cell_angle_beta 90.00
_cell_angle_gamma 90.00
_symmetry_space_group_name_H-M 'P 1'
_symmetry_Int_Tables_number 1
_symmetry_space_group_name_Hall 'P 1'
loop_
_atom_site_label
_atom_site_type_symbol
_atom_site_fract_x
_atom_site_fract_y
_atom_site_fract_z
_atom_site_occupancy
Li1 Li 0.000 0.500 0.000 1
Li2 Li 0.500 0.000 0.000 1
Pu1 Pu 0.000 0.000 0.844 1
Zr1 Zr 0.500 0.500 0.801 1
O1 O 0.000 0.000 0.345 1
O2 O 0.245 0.245 0.867 1
O3 O 0.245 0.755 0.867 1
O4 O 0.500 0.500 0.330 1
O5 O 0.755 0.245 0.867 1
O6 O 0.755 0.755 0.867 1

***

Entry 10:
# PBE-GGA LiPuZrO4, optimized geometry
# D(E_F)	15.83	states/eV/cell
data_LiPuZrO4
_cell_length_a 6.190
_cell_length_b 6.190
_cell_length_c 6.190
_cell_angle_alpha 114.15
_cell_angle_beta 107.18
_cell_angle_gamma 107.18
_symmetry_space_group_name_H-M 'P 1'
_symmetry_Int_Tables_number 1
_symmetry_space_group_name_Hall 'P 1'
loop_
_atom_site_label
_atom_site_type_symbol
_atom_site_fract_x
_atom_site_fract_y
_atom_site_fract_z
_atom_site_occupancy
Li1 Li 0.000 0.000 0.000 1
Li2 Li 0.500 0.000 0.500 1
Pu1 Pu 0.441 0.691 0.750 1
Pu2 Pu 0.559 0.309 0.250 1
Zr1 Zr 0.000 0.000 0.500 1
Zr2 Zr 0.000 0.500 0.000 1
O1 O 0.168 0.733 0.435 1
O2 O 0.202 0.267 0.935 1
O3 O 0.286 0.241 0.455 1
O4 O 0.286 0.830 0.045 1
O5 O 0.714 0.170 0.955 1
O6 O 0.714 0.759 0.545 1
O7 O 0.798 0.733 0.065 1
O8 O 0.832 0.267 0.565 1

***

Entry 11:
Crystalline LiPuZrO6 at its relaxed geometry. Source: the Alexandria database, functional PBE-GGA.

The structure in CIF format:
```
data_LiPuZrO6
_cell_length_a 4.956
_cell_length_b 4.956
_cell_length_c 9.572
_cell_angle_alpha 90.00
_cell_angle_beta 90.00
_cell_angle_gamma 90.00
_symmetry_space_group_name_H-M 'P 1'
_symmetry_Int_Tables_number 1
_symmetry_space_group_name_Hall 'P 1'
loop_
_atom_site_label
_atom_site_type_symbol
_atom_site_fract_x
_atom_site_fract_y
_atom_site_fract_z
_atom_site_occupancy
Li1 Li 0.000 0.000 0.000 1
Li2 Li 0.500 0.500 0.500 1
Pu1 Pu 0.000 0.000 0.330 1
Pu2 Pu 0.500 0.500 0.830 1
Zr1 Zr 0.000 0.000 0.672 1
Zr2 Zr 0.500 0.500 0.172 1
O1 O 0.183 0.183 0.490 1
O2 O 0.196 0.196 0.176 1
O3 O 0.209 0.209 0.826 1
O4 O 0.291 0.709 0.326 1
O5 O 0.304 0.696 0.676 1
O6 O 0.317 0.683 0.990 1
O7 O 0.683 0.317 0.990 1
O8 O 0.696 0.304 0.676 1
O9 O 0.709 0.291 0.326 1
O10 O 0.791 0.791 0.826 1
O11 O 0.804 0.804 0.176 1
O12 O 0.817 0.817 0.490 1
```

***

| no. | uncorrected energy (eV per atom) | mass density (g cm⁻³) |
| --- | --- | --- |
| 1 | -8.22 | 6.22 |
| 2 | -8.26 | 6.02 |
| 3 | -8.02 | 5.72 |
| 4 | -8.87 | 6.06 |
| 5 | -8.59 | 6.19 |
| 6 | -7.71 | 6.92 |
| 7 | -7.55 | 7.14 |
| 8 | -9.26 | 7.31 |
| 9 | -8.16 | 5.09 |
| 10 | -9.22 | 7.42 |
| 11 | -8.62 | 6.19 |